PrPuAuO6 | PBE-GGA | relaxed

Raw formation energy ... -1.87 eV/atom
Size of the total moment ... 2.47 Bohr magnetons per cell
Electronic total energy ... -7.66 eV/atom

Geometry as CIF:
```
data_PrPuAuO6
_chemical_formula_sum 'Pr2 Pu2 Au2 O12'
_symmetry_space_group_name_H-M 'P -3 1 c'
_symmetry_Int_Tables_number 163
_symmetry_space_group_name_Hall '-P 3 2c'
_cell_length_a 5.9639
_cell_length_b 5.9639
_cell_length_c 8.7550
_cell_angle_alpha 90.00
_cell_angle_beta 90.00
_cell_angle_gamma 120.00
loop_
_atom_site_label
_atom_site_type_symbol
_atom_site_fract_x
_atom_site_fract_y
_atom_site_fract_z
Pr1 Pr 0.3333 0.6667 0.2500
Pu1 Pu 0.3333 0.6667 0.7500
Au1 Au 0.0000 0.0000 0.0000
O1 O 0.0495 0.3798 0.6269
```